This record from Alexandria describes an optimized crystal structure of Er2Be12Fe5. The functional is PBE.

Computed properties:
calculated total energy	-5.2344	eV/atom
space group	R-3m, No. 166
DFT formation energy	-0.1737	eV/atom

Cell lengths 5.956, 5.956, 5.956 Å; angles 82.99, 82.99, 82.99 degrees
Element x y z (fractional)
Er (0.162, 0.162, 0.162)
Er (0.838, 0.838, 0.838)
Be (0.162, 0.162, 0.647)
Be (0.162, 0.647, 0.162)
Be (0.222, 0.500, 0.778)
Be (0.222, 0.778, 0.500)
Be (0.353, 0.838, 0.838)
Be (0.500, 0.222, 0.778)
Be (0.500, 0.778, 0.222)
Be (0.647, 0.162, 0.162)
Be (0.778, 0.222, 0.500)
Be (0.778, 0.500, 0.222)
Be (0.838, 0.353, 0.838)
Be (0.838, 0.838, 0.353)
Fe (0.000, 0.500, 0.500)
Fe (0.403, 0.403, 0.403)
Fe (0.500, 0.000, 0.500)
Fe (0.500, 0.500, 0.000)
Fe (0.597, 0.597, 0.597)